VASP calculation (PBE) on a geometry-optimized MnSnPd6 structure.

## Properties
final energy = -45.4 eV per cell
V = 142.7 Å³/cell
symmetry = C2/m
energy relative to the elements = -12.5 kJ/mol of atoms
energy above the most stable polymorph in this dataset = 227 meV per atom

a b c (Å): 4.700 4.700 7.281
angles (deg): 105.70 105.70 70.03
Fractional positions:
Mn1 0.000 0.000 0.000
Sn1 0.500 0.500 0.500
Pd1 0.064 0.550 0.704
Pd2 0.356 0.356 0.064
Pd3 0.450 0.936 0.296
Pd4 0.550 0.064 0.704
Pd5 0.644 0.644 0.936
Pd6 0.936 0.450 0.296

VASP calculation (PBE) on a geometry-optimized CoTeBr structure.

## Properties
final energy = -12.6 eV per cell
V = 78.6 Å³/cell
symmetry = P1

a b c (Å): 3.643 3.643 6.839
angles (deg): 90.25 90.31 120.00
Fractional positions:
Co1 0.000 0.000 0.000
Te1 0.337 0.670 0.198
Br1 0.663 0.330 0.792

VASP calculation (PBE) on a geometry-optimized ZnPbAu3 structure.

## Properties
final energy = -61.4 eV per cell
V = 415.1 Å³/cell
symmetry = P2_1/c
energy relative to the elements = -10.5 kJ/mol of atoms
energy above the most stable polymorph in this dataset = 0 meV per atom

a b c (Å): 8.741 5.600 8.599
angles (deg): 90.00 99.54 90.00
Fractional positions:
Zn1 0.075 0.184 0.363
Zn2 0.075 0.316 0.863
Zn3 0.925 0.684 0.137
Zn4 0.925 0.816 0.637
Pb1 0.386 0.613 0.800
Pb2 0.386 0.887 0.300
Pb3 0.614 0.113 0.700
Pb4 0.614 0.387 0.200
Au1 0.095 0.675 0.423
Au2 0.095 0.825 0.923
Au3 0.205 0.046 0.653
Au4 0.205 0.454 0.153
Au5 0.364 0.141 0.974
Au6 0.364 0.359 0.474
Au7 0.636 0.641 0.526
Au8 0.636 0.859 0.026
Au9 0.795 0.546 0.847
Au10 0.795 0.954 0.347
Au11 0.905 0.175 0.077
Au12 0.905 0.325 0.577

VASP calculation (PBE) on a geometry-optimized TbSn5 structure.

## Properties
final energy = -26.1 eV per cell
V = 161.5 Å³/cell
symmetry = Cmmm
energy relative to the elements = -23.6 kJ/mol of atoms
energy above the most stable polymorph in this dataset = 9 meV per atom

a b c (Å): 7.994 7.994 4.565
angles (deg): 90.00 90.00 146.39
Fractional positions:
Tb1 0.000 0.000 0.000
Sn1 0.169 0.831 0.500
Sn2 0.342 0.658 0.000
Sn3 0.500 0.500 0.500
Sn4 0.658 0.342 0.000
Sn5 0.831 0.169 0.500

VASP calculation (PBE) on a geometry-optimized DyHo2Er2Tm2 structure.

## Properties
final energy = -30.8 eV per cell
V = 216.8 Å³/cell
symmetry = R-3m
energy relative to the elements = 13.6 kJ/mol of atoms

a b c (Å): 8.656 8.656 8.656
angles (deg): 37.63 37.63 37.63
Fractional positions:
Dy1 0.000 0.000 0.000
Ho1 0.428 0.428 0.428
Ho2 0.572 0.572 0.572
Er1 0.285 0.285 0.285
Er2 0.715 0.715 0.715
Tm1 0.144 0.144 0.144
Tm2 0.856 0.856 0.856

VASP calculation (PBE) on a geometry-optimized BeVTe structure.

## Properties
final energy = -30.9 eV per cell
V = 117.9 Å³/cell
symmetry = Cm
energy above the most stable polymorph in this dataset = 343 meV per atom

a b c (Å): 4.538 4.538 8.349
angles (deg): 107.22 107.22 46.42
Fractional positions:
Be1 0.000 0.000 0.000
Be2 0.217 0.217 0.221
V1 0.278 0.278 0.963
V2 0.524 0.524 0.825
Te1 0.771 0.771 0.696
Te2 0.923 0.923 0.259

VASP calculation (PBE) on a geometry-optimized PrPu2S3 structure.

## Properties
final energy = -113.7 eV per cell
V = 274.6 Å³/cell
symmetry = P6_3/mmc

a b c (Å): 3.995 3.995 19.872
angles (deg): 90.00 90.00 120.00
Fractional positions:
Pr1 0.000 0.000 0.250
Pr2 0.000 0.000 0.750
Pu1 0.333 0.667 0.082
Pu2 0.333 0.667 0.418
Pu3 0.667 0.333 0.582
Pu4 0.667 0.333 0.918
S1 0.000 0.000 0.000
S2 0.000 0.000 0.500
S3 0.333 0.667 0.660
S4 0.333 0.667 0.840
S5 0.667 0.333 0.160
S6 0.667 0.333 0.340

VASP calculation (PBE) on a geometry-optimized Sr2LaMo structure.

## Properties
final energy = -15.6 eV per cell
V = 137.1 Å³/cell
symmetry = R-3m
energy relative to the elements = 85.4 kJ/mol of atoms
energy above the most stable polymorph in this dataset = 364 meV per atom

a b c (Å): 12.071 12.071 12.071
angles (deg): 17.39 17.39 17.39
Fractional positions:
Sr1 0.234 0.234 0.234
Sr2 0.766 0.766 0.766
La1 0.000 0.000 0.000
Mo1 0.500 0.500 0.500

VASP calculation (PBE) on a geometry-optimized AsOsAu3 structure.

## Properties
final energy = -18.4 eV per cell
V = 124.3 Å³/cell
symmetry = Pm-3m
energy relative to the elements = 141.8 kJ/mol of atoms
energy above the most stable polymorph in this dataset = 65 meV per atom

a b c (Å): 4.991 4.991 4.991
angles (deg): 90.00 90.00 90.00
Fractional positions:
As1 0.000 0.000 0.000
Os1 0.500 0.500 0.500
Au1 0.000 0.500 0.500
Au2 0.500 0.000 0.500
Au3 0.500 0.500 0.000

VASP calculation (PBE) on a geometry-optimized KNaGaPb structure.

## Properties
final energy = -9.3 eV per cell
V = 116.0 Å³/cell
symmetry = F-43m
energy relative to the elements = -3.6 kJ/mol of atoms

a b c (Å): 5.474 5.474 5.474
angles (deg): 60.00 60.00 60.00
Fractional positions:
K1 0.000 0.000 0.000
Na1 0.250 0.250 0.250
Ga1 0.750 0.750 0.750
Pb1 0.500 0.500 0.500

VASP calculation (PBE) on a geometry-optimized BaTcHg2 structure.

## Properties
final energy = -10.6 eV per cell
V = 109.6 Å³/cell
symmetry = P4/mmm
energy relative to the elements = 55.7 kJ/mol of atoms
energy above the most stable polymorph in this dataset = 598 meV per atom

a b c (Å): 4.870 4.870 4.619
angles (deg): 90.00 90.00 90.00
Fractional positions:
Ba1 0.000 0.000 0.000
Tc1 0.500 0.500 0.000
Hg1 0.000 0.500 0.500
Hg2 0.500 0.000 0.500

VASP calculation (PBE) on a geometry-optimized TaBeCrP2 structure.

## Properties
final energy = -32.7 eV per cell
V = 73.0 Å³/cell
symmetry = P4/mmm
energy relative to the elements = 64.8 kJ/mol of atoms

a b c (Å): 4.362 4.362 3.835
angles (deg): 90.00 90.00 90.00
Fractional positions:
Ta1 0.000 0.000 0.000
Be1 0.500 0.500 0.000
Cr1 0.500 0.500 0.500
P1 0.000 0.500 0.500
P2 0.500 0.000 0.500

VASP calculation (PBE) on a geometry-optimized Pm2InSe structure.

## Properties
final energy = -19.9 eV per cell
V = 117.2 Å³/cell
symmetry = R3m
energy above the most stable polymorph in this dataset = 108 meV per atom

a b c (Å): 8.730 8.730 8.730
angles (deg): 26.55 26.55 26.55
Fractional positions:
Pm1 0.000 0.000 0.000
Pm2 0.191 0.191 0.191
In1 0.429 0.429 0.429
Se1 0.597 0.597 0.597